(1)
# ZrIrCl2 (PBEsol, relaxed)
# Energy above the most stable polymorph in this dataset ... 238 meV/atom
# Electronic total energy ... -5.675 eV/atom
data_ZrIrCl2
_chemical_formula_sum 'Zr2 Ir2 Cl4'
_cell_length_a 4.113
_cell_length_b 4.113
_cell_length_c 7.969
_cell_angle_alpha 90.00
_cell_angle_beta 90.00
_cell_angle_gamma 90.00
_symmetry_space_group_name_H-M 'I 4/m m m'
_symmetry_Int_Tables_number 139
_symmetry_space_group_name_Hall '-I 4 2'
loop_
_atom_site_label
_atom_site_type_symbol
_atom_site_fract_x
_atom_site_fract_y
_atom_site_fract_z
Zr1 Zr 0.000 0.000 0.000
Ir1 Ir 0.000 0.000 0.500
Cl1 Cl 0.000 0.500 0.250


(2)
# BaCdTe2 (PBEsol, relaxed)
# Electronic total energy ... -3.515 eV/atom
data_BaCdTe2
_chemical_formula_sum 'Ba3 Cd3 Te6'
_cell_length_a 4.5071
_cell_length_b 4.5071
_cell_length_c 23.0282
_cell_angle_alpha 90.00
_cell_angle_beta 90.00
_cell_angle_gamma 120.00
_symmetry_space_group_name_H-M 'R 3 m'
_symmetry_Int_Tables_number 160
_symmetry_space_group_name_Hall 'R 3 -2"'
loop_
_atom_site_label
_atom_site_type_symbol
_atom_site_fract_x
_atom_site_fract_y
_atom_site_fract_z
Ba1 Ba 0.0000 0.0000 0.0000
Cd1 Cd 0.0000 0.0000 0.1688
Te1 Te 0.0000 0.0000 0.5692
Te2 Te 0.0000 0.0000 0.7642


(3)
# TlInMo2 (PBEsol, relaxed)
# Energy above the most stable polymorph in this dataset ... 0 meV/atom
# ΔE_f ... 0.3465 eV/atom
# Electronic total energy ... -6.941 eV/atom
data_TlInMo2
_chemical_formula_sum 'Tl1 In1 Mo2'
_cell_length_a 3.155
_cell_length_b 3.155
_cell_length_c 7.854
_cell_angle_alpha 90.00
_cell_angle_beta 90.00
_cell_angle_gamma 90.00
_symmetry_space_group_name_H-M 'P 4 m m'
_symmetry_Int_Tables_number 99
_symmetry_space_group_name_Hall 'P 4 -2'
loop_
_atom_site_label
_atom_site_type_symbol
_atom_site_fract_x
_atom_site_fract_y
_atom_site_fract_z
Tl1 Tl 0.000 0.000 0.000
In1 In 0.500 0.500 0.333
Mo1 Mo 0.000 0.000 0.571
Mo2 Mo 0.500 0.500 0.742


(4)
# CaSiAu2 (PBEsol, relaxed)
# Electronic total energy ... -4.286 eV/atom
data_CaSiAu2
_chemical_formula_sum 'Ca2 Si2 Au4'
_cell_length_a 4.669
_cell_length_b 4.669
_cell_length_c 6.841
_cell_angle_alpha 90.00
_cell_angle_beta 90.00
_cell_angle_gamma 90.00
_symmetry_space_group_name_H-M 'I 4/m m m'
_symmetry_Int_Tables_number 139
_symmetry_space_group_name_Hall '-I 4 2'
loop_
_atom_site_label
_atom_site_type_symbol
_atom_site_fract_x
_atom_site_fract_y
_atom_site_fract_z
Ca1 Ca 0.000 0.000 0.000
Si1 Si 0.000 0.000 0.500
Au1 Au 0.000 0.500 0.250